No. 1
First-principles (PBE) data for an optimized crystal structure of Ba2CrRe, as listed in the Alexandria database.

a b c (Å): 7.505 7.505 7.505
angles (deg): 90.00 90.00 90.00
Space group Fm-3m (No. 225)
Symmetry-distinct sites (fractional):
Ba  0.250  0.250  0.250 (multiplicity 8)
Cr  0.000  0.000  0.000 (multiplicity 4)
Re  0.000  0.000  0.500 (multiplicity 4)

Results
ΔE to the lowest computed polymorph in meV per atom: 1375.4
V in Å³/atom: 26.4
Calculated density in g cm⁻³: 8.06
E_form in eV per atom: 1.92
Total moment in μB per formula unit: 0.0
Final energy in eV per atom: -4.559

***

No. 2
First-principles (PBE) data for an optimized crystal structure of AlZnRu2W, as listed in the Alexandria database.

a b c (Å): 4.682 4.682 4.850
angles (deg): 90.00 90.00 90.00
Space group P4/mmm (No. 123)
Symmetry-distinct sites (fractional):
Al  0.000  0.000  0.000 (multiplicity 1)
Zn  0.500  0.500  0.000 (multiplicity 1)
Ru  0.000  0.500  0.500 (multiplicity 2)
W  0.000  0.000  0.500 (multiplicity 1)

Results
ΔE to the lowest computed polymorph in meV per atom: 0.0
V in Å³/atom: 21.3
Calculated density in g cm⁻³: 7.47
E_form in eV per atom: 1.35
Total moment in μB per formula unit: 0.0
Final energy in eV per atom: -5.950

***

No. 3
First-principles (PBE) data for an optimized crystal structure of Mg2Ag2Pd5, as listed in the Alexandria database.

a b c (Å): 5.620 16.692 6.675
angles (deg): 90.00 90.00 90.00
Space group Imma (No. 74)
Symmetry-distinct sites (fractional):
Mg  0.000  0.069  0.088 (multiplicity 8)
Ag  0.000  0.000  0.500 (multiplicity 4)
Ag  0.000  0.250  0.553 (multiplicity 4)
Pd  0.000  0.250  0.949 (multiplicity 4)
Pd  0.250  0.112  0.750 (multiplicity 8)
Pd  0.250  0.171  0.250 (multiplicity 8)

Results
V in Å³/atom: 17.4
Calculated density in g cm⁻³: 8.45
E_form in eV per atom: -0.09
Total moment in μB per formula unit: 0.0
Final energy in eV per atom: -3.961

***

No. 4
First-principles (PBE) data for an optimized crystal structure of CaAgPbBr5, as listed in the Alexandria database.

a b c (Å): 9.354 12.669 10.536
angles (deg): 90.00 115.69 90.00
Space group C2/c (No. 15)
Symmetry-distinct sites (fractional):
Ca  0.000  0.000  0.000 (multiplicity 4)
Ag  0.000  0.320  0.250 (multiplicity 4)
Pb  0.000  0.359  0.750 (multiplicity 4)
Br  0.000  0.107  0.750 (multiplicity 4)
Br  0.148  0.193  0.143 (multiplicity 8)
Br  0.168  0.462  0.452 (multiplicity 8)

Results
V in Å³/atom: 35.2
Calculated density in g cm⁻³: 4.45
Uncorrected formation energy in eV per atom: -1.122
Total moment in μB per formula unit: 0.0
Final energy in eV per atom: -3.238

***

No. 5
First-principles (PBE) data for an optimized crystal structure of TbSc3Ru, as listed in the Alexandria database.

a b c (Å): 11.185 7.981 7.500
angles (deg): 90.00 131.92 90.00
Space group C2/m (No. 12)
Symmetry-distinct sites (fractional):
Tb  0.053  0.000  0.325 (multiplicity 4)
Sc  0.059  0.500  0.257 (multiplicity 4)
Sc  0.227  0.304  0.774 (multiplicity 8)
Ru  0.242  0.500  0.109 (multiplicity 4)

Results
ΔE to the lowest computed polymorph in meV per atom: 0.0
V in Å³/atom: 24.9
Calculated density in g cm⁻³: 5.26
E_form in eV per atom: -0.19
Total moment in μB per formula unit: 0.5
Final energy in eV per atom: -6.774

***

No. 6
First-principles (PBE) data for an optimized crystal structure of BSbSe2, as listed in the Alexandria database.

a b c (Å): 5.0785 5.0785 17.6134
angles (deg): 90.00 90.00 120.00
Space group R-3m (No. 166, hexagonal axes)
Symmetry-distinct sites (fractional):
B  0.0000  0.0000  0.0000 (multiplicity 3)
Sb  0.0000  0.0000  0.5000 (multiplicity 3)
Se  0.0000  0.0000  0.1039 (multiplicity 6)

Results
ΔE to the lowest computed polymorph in meV per atom: 574.2
V in Å³/atom: 32.8
Calculated density in g cm⁻³: 3.68
Uncorrected formation energy in eV per atom: 0.496
Total moment in μB per formula unit: 0.0
Final energy in eV per atom: -3.946

***

No. 7
First-principles (PBE) data for an optimized crystal structure of Ba2CrCuBr, as listed in the Alexandria database.

a b c (Å): 6.237 6.237 4.637
angles (deg): 90.00 90.00 90.00
Space group P4/mmm (No. 123)
Symmetry-distinct sites (fractional):
Ba  0.000  0.500  0.000 (multiplicity 2)
Cr  0.000  0.000  0.000 (multiplicity 1)
Cu  0.000  0.000  0.500 (multiplicity 1)
Br  0.500  0.500  0.500 (multiplicity 1)

Results
V in Å³/atom: 36.1
Calculated density in g cm⁻³: 4.33
Uncorrected formation energy in eV per atom: -0.020
Total moment in μB per formula unit: 3.7
Final energy in eV per atom: -3.868

***

No. 8
First-principles (PBE) data for an optimized crystal structure of TmThSbN, as listed in the Alexandria database.

a b c (Å): 4.426 4.426 9.742
angles (deg): 90.00 90.00 90.00
Space group P4/nmm (No. 129, origin choice 2)
Symmetry-distinct sites (fractional):
Tm  0.250  0.750  0.000 (multiplicity 2)
Th  0.250  0.250  0.397 (multiplicity 2)
Sb  0.250  0.250  0.789 (multiplicity 2)
N  0.250  0.750  0.500 (multiplicity 2)

Results
V in Å³/atom: 23.9
Calculated density in g cm⁻³: 9.34
Uncorrected formation energy in eV per atom: -1.094
Total moment in μB per formula unit: 0.0
Final energy in eV per atom: -7.179